Record 1
Here is a geometry-optimized ErMgAsO structure from OQMD via LeMat-Bulk. Energies are from PBE.

Cell: 4.0308 4.0308 8.8955 Å, 90.00 90.00 90.00°
Last column: nearest neighbours and their distance in Å.
Space group P4/nmm (No. 129, origin choice 2)
Symmetry-distinct sites (fractional):
1 Er 0.2500 0.2500 0.1137  4 O 2.26
2 Mg 0.2500 0.7500 0.5000  4 As 2.63, 4 Mg 2.85
3 As 0.2500 0.2500 0.6902  4 Mg 2.63
4 O 0.2500 0.7500 0.0000  4 Er 2.26

energy above the most stable polymorph in this dataset	0.00	eV/f.u.

=====

Record 2
Here is a geometry-optimized ErMgAsO structure from OQMD via LeMat-Bulk. Energies are from PBE.

Cell: 4.3708 4.3708 9.5305 Å, 90.00 90.00 90.00°
Last column: nearest neighbours and their distance in Å.
Space group P4/nmm (No. 129, origin choice 2)
Symmetry-distinct sites (fractional):
1 Er 0.2500 0.7500 0.0000  4 As 2.76, 4 Er 3.09
2 Mg 0.2500 0.2500 0.4965  4 O 2.19
3 As 0.2500 0.2500 0.1773  4 Er 2.76, 1 Mg 3.04
4 O 0.2500 0.7500 0.5000  4 Mg 2.19

energy above the most stable polymorph in this dataset	3.12	eV/f.u.

=====

energy above the most stable polymorph in this dataset of number 1 (ErMgAsO)? 0.00 eV/f.u.